a) # InBTeN2, PBEsol geometry, DFT SCAN
data_InBTeN2
_symmetry_space_group_name_H-M 'P 4/m m m'
_symmetry_Int_Tables_number 123
_symmetry_space_group_name_Hall '-P 4 2'
_cell_length_a 3.765
_cell_length_b 3.765
_cell_length_c 4.959
_cell_angle_alpha 90.00
_cell_angle_beta 90.00
_cell_angle_gamma 90.00
loop_
_atom_site_label
_atom_site_type_symbol
_atom_site_fract_x
_atom_site_fract_y
_atom_site_fract_z
In1 In 0.000 0.000 0.000
B1 B 0.500 0.500 0.500
Te1 Te 0.500 0.500 0.000
N1 N 0.000 0.500 0.500
# density of states at the Fermi level = 0.291 states/eV/atom
# magnetization = 0.55 μB per atom



b) # InBTeN2, PBEsol geometry, DFT SCAN
data_InBTeN2
_symmetry_space_group_name_H-M 'P 4/m m m'
_symmetry_Int_Tables_number 123
_symmetry_space_group_name_Hall '-P 4 2'
_cell_length_a 4.049
_cell_length_b 4.049
_cell_length_c 6.231
_cell_angle_alpha 90.00
_cell_angle_beta 90.00
_cell_angle_gamma 90.00
loop_
_atom_site_label
_atom_site_type_symbol
_atom_site_fract_x
_atom_site_fract_y
_atom_site_fract_z
In1 In 0.000 0.000 0.000
B1 B 0.500 0.500 0.500
Te1 Te 0.000 0.000 0.500
N1 N 0.000 0.500 0.000
# density of states at the Fermi level = 0.373 states/eV/atom
# magnetization = 0.66 μB per atom



Bottom line: a), by a margin of 0.413 eV/atom.